VASP calculation (GGA-PBE) on a relaxed Hg5C4 crystal.

Results
- Energy relative to the lowest polymorph listed for this composition: 0 meV per atom
- Spin magnetization: 0.000 μB per formula unit

Unit cell a=6.6349 b=6.6349 c=6.6349 alpha=108.28 beta=108.28 gamma=111.87
Element x y z (fractional)
Hg  0.2534  0.7466  0.0000
C  0.0000  0.4160  0.4160
Hg  0.2534  0.2534  0.5068
Hg  0.7466  0.2534  0.0000
C  0.5840  0.0000  0.5840
C  0.0000  0.5840  0.5840
Hg  0.7466  0.7466  0.4932
C  0.4160  0.0000  0.4160
Hg  0.0000  0.0000  0.0000

---

VASP calculation (GGA-PBE) on a relaxed HgC crystal.

Results
- Energy relative to the lowest polymorph listed for this composition: 1807 meV per atom
- Spin magnetization: 0.000 μB per formula unit

Unit cell a=4.2891 b=4.2891 c=4.2454 alpha=90.00 beta=90.00 gamma=90.00
Element x y z (fractional)
Hg  0.2500  0.2500  0.1763
Hg  0.7500  0.7500  0.8237
C  0.7500  0.2500  0.0000
C  0.2500  0.7500  0.0000

---

VASP calculation (GGA-PBE) on a relaxed HgC crystal.

Results
- Energy relative to the lowest polymorph listed for this composition: 1852 meV per atom
- Spin magnetization: 0.000 μB per formula unit

Unit cell a=5.7511 b=5.7511 c=3.4012 alpha=90.00 beta=90.00 gamma=146.31
Element x y z (fractional)
C  0.8518  0.1482  0.7500
Hg  0.6295  0.3705  0.7500
C  0.1482  0.8518  0.2500
Hg  0.3705  0.6295  0.2500

---

VASP calculation (GGA-PBE) on a relaxed HgC crystal.

Results
- Energy relative to the lowest polymorph listed for this composition: 44 meV per atom
- Spin magnetization: 0.000 μB per formula unit

Unit cell a=2.7118 b=2.7118 c=11.4199 alpha=90.00 beta=90.00 gamma=120.00
Element x y z (fractional)
Hg  0.6667  0.3333  0.7713
Hg  0.0000  0.0000  0.4787
C  0.6667  0.3333  0.1250
C  0.0000  0.0000  0.1250

---

VASP calculation (GGA-PBE) on a relaxed HgC crystal.

Results
- Energy relative to the lowest polymorph listed for this composition: 2048 meV per atom
- Spin magnetization: 0.523 μB per formula unit

Unit cell a=6.5532 b=6.5532 c=2.9814 alpha=90.00 beta=90.00 gamma=120.00
Element x y z (fractional)
C  0.0000  0.0000  0.0000
C  0.6667  0.3333  0.5000
C  0.3333  0.6667  0.5000
Hg  0.5000  0.0000  0.0000
Hg  0.0000  0.5000  0.0000
Hg  0.5000  0.5000  0.0000

---

VASP calculation (GGA-PBE) on a relaxed HgC crystal.

Results
- Energy relative to the lowest polymorph listed for this composition: 99 meV per atom
- Spin magnetization: 0.000 μB per formula unit

Unit cell a=11.7034 b=11.7034 c=2.6405 alpha=90.00 beta=90.00 gamma=90.00
Element x y z (fractional)
C  0.0966  0.4039  0.5000
C  0.5961  0.0966  0.5000
C  0.9034  0.5961  0.5000
Hg  0.6171  0.6783  0.5000
C  0.5966  0.0961  0.0000
Hg  0.1171  0.8217  0.0000
C  0.4039  0.9034  0.5000
Hg  0.3829  0.3217  0.5000
Hg  0.1783  0.1171  0.0000
Hg  0.8829  0.1783  0.0000
C  0.0961  0.4034  0.0000
Hg  0.8217  0.8829  0.0000
C  0.4034  0.9039  0.0000
C  0.9039  0.5966  0.0000
Hg  0.3217  0.6171  0.5000
Hg  0.6783  0.3829  0.5000

---

VASP calculation (GGA-PBE) on a relaxed HgC crystal.

Results
- Energy relative to the lowest polymorph listed for this composition: 45 meV per atom
- Spin magnetization: 0.000 μB per formula unit

Unit cell a=2.7121 b=2.7121 c=23.6565 alpha=90.00 beta=90.00 gamma=120.00
Element x y z (fractional)
Hg  0.3333  0.6667  0.4294
Hg  0.3333  0.6667  0.0706
C  0.3333  0.6667  0.7500
C  0.6667  0.3333  0.2500
C  0.0000  0.0000  0.7500
Hg  0.6667  0.3333  0.9294
Hg  0.6667  0.3333  0.5706
C  0.0000  0.0000  0.2500

---

VASP calculation (GGA-PBE) on a relaxed Hg5C7 crystal.

Results
- Spin magnetization: 0.000 μB per formula unit

Unit cell a=6.6628 b=6.6628 c=6.6628 alpha=97.28 beta=97.28 gamma=138.28
Element x y z (fractional)
C  0.5999  0.2094  0.6094
C  0.9905  0.5999  0.3906
Hg  0.0997  0.0997  0.0000
C  0.3500  0.8500  0.5000
Hg  0.7909  0.4097  0.0000
Hg  0.4097  0.7909  0.0000
Hg  0.7909  0.7909  0.3811
Hg  0.4097  0.4097  0.6189
C  0.5994  0.5994  0.0000
C  0.2094  0.5999  0.6094
C  0.5999  0.9905  0.3906
C  0.8500  0.3500  0.5000

---

VASP calculation (GGA-PBE) on a relaxed HgC4 crystal.

Results
- Energy relative to the lowest polymorph listed for this composition: 3337 meV per atom
- Spin magnetization: 0.847 μB per formula unit

Unit cell a=4.3033 b=4.3033 c=4.3033 alpha=90.00 beta=90.00 gamma=90.00
Element x y z (fractional)
C  0.5000  0.5000  0.0000
C  0.0000  0.5000  0.5000
C  0.0000  0.0000  0.0000
Hg  0.5000  0.5000  0.5000
C  0.5000  0.0000  0.5000

---

VASP calculation (GGA-PBE) on a relaxed Hg3C crystal.

Results
- Energy relative to the lowest polymorph listed for this composition: 1139 meV per atom
- Spin magnetization: 0.000 μB per formula unit

Unit cell a=4.8269 b=4.8269 c=4.8269 alpha=60.00 beta=60.00 gamma=60.00
Element x y z (fractional)
Hg  0.2500  0.2500  0.2500
Hg  0.5000  0.5000  0.5000
Hg  0.7500  0.7500  0.7500
C  0.0000  0.0000  0.0000

---

VASP calculation (GGA-PBE) on a relaxed HgC crystal.

Results
- Energy relative to the lowest polymorph listed for this composition: 1879 meV per atom
- Spin magnetization: 0.000 μB per formula unit

Unit cell a=3.3343 b=3.3343 c=2.9141 alpha=90.00 beta=90.00 gamma=90.00
Element x y z (fractional)
C  0.0000  0.0000  0.0000
Hg  0.5000  0.5000  0.0000

---

VASP calculation (GGA-PBE) on a relaxed Hg5C3 crystal.

Results
- Energy relative to the lowest polymorph listed for this composition: 613 meV per atom
- Spin magnetization: 0.000 μB per formula unit

Unit cell a=6.8954 b=6.8954 c=3.4860 alpha=90.00 beta=90.00 gamma=114.35
Element x y z (fractional)
Hg  0.0000  0.0000  0.0000
Hg  0.0000  0.5000  0.0000
C  0.5000  0.5000  0.0000
C  0.3038  0.6962  0.5000
Hg  0.7068  0.7068  0.5000
Hg  0.5000  0.0000  0.0000
C  0.6962  0.3038  0.5000
Hg  0.2932  0.2932  0.5000

---

VASP calculation (GGA-PBE) on a relaxed HgC crystal.

Results
- Energy relative to the lowest polymorph listed for this composition: 86 meV per atom
- Spin magnetization: 0.000 μB per formula unit

Unit cell a=13.7168 b=13.7168 c=2.6490 alpha=90.00 beta=90.00 gamma=90.00
Element x y z (fractional)
Hg  0.0000  0.8060  0.5000
Hg  0.8060  0.0000  0.5000
Hg  0.3060  0.5000  0.0000
C  0.2503  0.2503  0.0000
C  0.7503  0.7503  0.5000
C  0.7497  0.2503  0.0000
C  0.2503  0.7497  0.0000
Hg  0.5000  0.6940  0.0000
Hg  0.5000  0.3060  0.0000
C  0.7497  0.7497  0.0000
C  0.7503  0.2497  0.5000
C  0.2497  0.2497  0.5000
C  0.2497  0.7503  0.5000
Hg  0.6940  0.5000  0.0000
Hg  0.1940  0.0000  0.5000
Hg  0.0000  0.1940  0.5000

---

VASP calculation (GGA-PBE) on a relaxed Hg3C crystal.

Results
- Energy relative to the lowest polymorph listed for this composition: 864 meV per atom
- Spin magnetization: 0.000 μB per formula unit

Unit cell a=7.2080 b=7.2080 c=7.2080 alpha=154.75 beta=149.05 gamma=40.35
Element x y z (fractional)
C  0.5000  0.0000  0.5000
Hg  0.3199  0.3199  0.0000
Hg  0.6801  0.6801  0.0000
Hg  0.0000  0.5000  0.5000

---

VASP calculation (GGA-PBE) on a relaxed HgC crystal.

Results
- Energy relative to the lowest polymorph listed for this composition: 2078 meV per atom
- Spin magnetization: 0.000 μB per formula unit

Unit cell a=3.0891 b=3.0891 c=3.0891 alpha=90.00 beta=90.00 gamma=90.00
Element x y z (fractional)
Hg  0.5000  0.5000  0.5000
C  0.0000  0.0000  0.0000

---

VASP calculation (GGA-PBE) on a relaxed Hg5C crystal.

Results
- Energy relative to the lowest polymorph listed for this composition: 231 meV per atom
- Spin magnetization: 0.000 μB per formula unit

Unit cell a=3.1322 b=3.1322 c=13.7044 alpha=90.00 beta=90.00 gamma=90.00
Element x y z (fractional)
Hg  0.0000  0.0000  0.5000
C  0.5000  0.5000  0.0000
Hg  0.0000  0.0000  0.1123
Hg  0.5000  0.5000  0.3030
Hg  0.0000  0.0000  0.8877
Hg  0.5000  0.5000  0.6970

---

VASP calculation (GGA-PBE) on a relaxed HgC7 crystal.

Results
- Spin magnetization: 0.000 μB per formula unit

Unit cell a=4.8193 b=4.8193 c=4.8193 alpha=60.00 beta=60.00 gamma=60.00
Element x y z (fractional)
C  0.5000  0.5000  0.0000
C  0.0000  0.5000  0.0000
C  0.5000  0.0000  0.5000
C  0.5000  0.0000  0.0000
C  0.0000  0.5000  0.5000
Hg  0.0000  0.0000  0.0000
C  0.5000  0.5000  0.5000
C  0.0000  0.0000  0.5000

---

VASP calculation (GGA-PBE) on a relaxed HgC crystal.

Results
- Energy relative to the lowest polymorph listed for this composition: 1784 meV per atom
- Spin magnetization: 0.000 μB per formula unit

Unit cell a=3.8030 b=3.8030 c=2.9659 alpha=90.00 beta=90.00 gamma=120.00
Element x y z (fractional)
C  0.6667  0.3333  0.5000
Hg  0.0000  0.0000  0.5000

---

VASP calculation (GGA-PBE) on a relaxed Hg4C3 crystal.

Results
- Energy relative to the lowest polymorph listed for this composition: 298 meV per atom
- Spin magnetization: 0.000 μB per formula unit

Unit cell a=4.3886 b=4.3886 c=8.1423 alpha=90.00 beta=90.00 gamma=120.00
Element x y z (fractional)
Hg  0.0000  0.0000  0.7835
C  0.5000  0.5000  0.0000
C  0.0000  0.5000  0.0000
Hg  0.0000  0.0000  0.2165
Hg  0.6667  0.3333  0.5000
Hg  0.3333  0.6667  0.5000
C  0.5000  0.0000  0.0000

---

VASP calculation (GGA-PBE) on a relaxed Hg3C crystal.

Results
- Energy relative to the lowest polymorph listed for this composition: 1050 meV per atom
- Spin magnetization: 0.010 μB per formula unit

Unit cell a=4.8783 b=4.8783 c=4.8783 alpha=109.63 beta=109.63 gamma=109.63
Element x y z (fractional)
Hg  0.5000  0.0000  0.5000
Hg  0.0000  0.5000  0.5000
Hg  0.5000  0.5000  0.0000
C  0.0000  0.0000  0.0000

---

VASP calculation (GGA-PBE) on a relaxed HgC crystal.

Results
- Energy relative to the lowest polymorph listed for this composition: 2276 meV per atom
- Spin magnetization: 0.000 μB per formula unit

Unit cell a=4.5057 b=4.5057 c=4.5057 alpha=60.00 beta=60.00 gamma=60.00
Element x y z (fractional)
C  0.2500  0.2500  0.2500
C  0.0000  0.0000  0.0000
Hg  0.5000  0.5000  0.5000
Hg  0.7500  0.7500  0.7500

---

VASP calculation (GGA-PBE) on a relaxed Hg3C crystal.

Results
- Energy relative to the lowest polymorph listed for this composition: 529 meV per atom
- Spin magnetization: 0.000 μB per formula unit

Unit cell a=4.1664 b=4.1676 c=6.3536 alpha=90.00 beta=90.00 gamma=90.00
Element x y z (fractional)
Hg  0.5000  0.0000  0.3954
Hg  0.0000  0.5000  0.1881
Hg  0.5000  0.5000  0.7915
C  0.0000  0.0000  0.2917

---

VASP calculation (GGA-PBE) on a relaxed Hg5C crystal.

Results
- Energy relative to the lowest polymorph listed for this composition: 508 meV per atom
- Spin magnetization: 2.002 μB per formula unit

Unit cell a=6.1707 b=6.1707 c=6.1707 alpha=60.00 beta=60.00 gamma=60.00
Element x y z (fractional)
C  0.0000  0.0000  0.0000
Hg  0.1237  0.6254  0.6254
Hg  0.2500  0.2500  0.2500
Hg  0.6254  0.6254  0.6254
Hg  0.6254  0.1237  0.6254
Hg  0.6254  0.6254  0.1237

---

VASP calculation (GGA-PBE) on a relaxed Hg5C crystal.

Results
- Energy relative to the lowest polymorph listed for this composition: 9 meV per atom
- Spin magnetization: 0.000 μB per formula unit

Unit cell a=8.0551 b=8.0551 c=4.4924 alpha=90.00 beta=90.00 gamma=148.23
Element x y z (fractional)
Hg  0.4355  0.5645  0.5000
Hg  0.5949  0.4051  0.0000
C  0.1325  0.8675  0.0000
Hg  0.2904  0.7096  0.0000
Hg  0.0907  0.9093  0.5000
Hg  0.7892  0.2108  0.5000

---

VASP calculation (GGA-PBE) on a relaxed HgC crystal.

Results
- Energy relative to the lowest polymorph listed for this composition: 1760 meV per atom
- Spin magnetization: 0.000 μB per formula unit

Unit cell a=6.3755 b=6.3755 c=6.3755 alpha=90.00 beta=90.00 gamma=90.00
Element x y z (fractional)
C  0.5000  0.7500  0.0000
Hg  0.2500  0.5000  0.0000
C  0.0000  0.5000  0.7500
Hg  0.0000  0.7500  0.5000
C  0.7500  0.0000  0.5000
Hg  0.0000  0.2500  0.5000
C  0.2500  0.0000  0.5000
C  0.5000  0.2500  0.0000
Hg  0.5000  0.0000  0.2500
C  0.0000  0.5000  0.2500
Hg  0.7500  0.5000  0.0000
Hg  0.5000  0.0000  0.7500

---

VASP calculation (GGA-PBE) on a relaxed Hg3C crystal.

Results
- Energy relative to the lowest polymorph listed for this composition: 895 meV per atom
- Spin magnetization: 0.000 μB per formula unit

Unit cell a=5.5807 b=5.5807 c=5.5807 alpha=146.39 beta=120.13 gamma=70.44
Element x y z (fractional)
Hg  0.6087  0.5000  0.1087
C  0.9356  0.0000  0.9356
Hg  0.3242  0.6797  0.6446
Hg  0.9649  0.3203  0.6446

---

Across the entries above, ΔE_f takes the values 1.24 2.34 2.39 0.58 2.59 0.64 0.58 1.29 4.80 1.54 2.42 1.97 0.62 1.27 2.62 0.92 4.37 2.32 2.22 1.45 2.81 0.93 1.20 0.70 2.30 1.30 eV per atom, respectively.
Across the entries above, uncorrected energy takes the values -3.03 -2.42 -2.37 -4.18 -2.18 -4.13 -4.18 -4.22 -2.64 -0.99 -2.35 -1.68 -4.14 -1.27 -2.15 -0.86 -3.74 -2.44 -1.91 -1.08 -1.95 -1.60 -0.59 -1.09 -2.47 -1.23 eV per atom, respectively.